BaDyWO6 | GGA+U | optimized geometry

a b c (Å): 5.707 5.707 5.585
angles (deg): 90.00 90.00 120.00
Sites, in units of the cell vectors:
Ba1 0.000 0.000 0.000
Dy1 0.333 0.667 0.500
W1 0.667 0.333 0.500
O1 0.400 0.039 0.699
O2 0.400 0.361 0.301
O3 0.639 0.039 0.301
O4 0.639 0.600 0.699
O5 0.961 0.361 0.699
O6 0.961 0.600 0.301

The symmetry is P312, No. 149. The total energy comes out at -7.34 eV per atom.